Below is a relaxed structure of Pm2Ga4Cu3Pd, with properties calculated at the PBE level.

Summary:
Uncorrected energy, eV per atom: -4.44
Symmetry: No. 115
Crystal system: tetragonal
Magnetization, μB per formula unit: 0.000
ΔH_f (0 K), meV/atom: -529

Cell lengths 4.2158, 4.2158, 10.2622 Å; angles 90.00, 90.00, 90.00 degrees
Fractional positions:
Pm 0.0000 0.5000 0.2468
Pm 0.5000 0.0000 0.7532
Ga 0.0000 0.0000 0.0000
Ga 0.0000 0.5000 0.6340
Ga 0.5000 0.0000 0.3660
Ga 0.5000 0.5000 0.0000
Cu 0.0000 0.5000 0.8695
Cu 0.5000 0.0000 0.1305
Cu 0.5000 0.5000 0.5000
Pd 0.0000 0.0000 0.5000